TiWNO2: relaxed, PBE+U.

abc: 3.7240 3.7240 4.2815
angles: 90.00 90.00 90.00
With the nearest neighbours (Å) after each atom.
Space group P4/mmm (No. 123)
Asymmetric unit:
1 Ti 0.0000 0.0000 0.0000 x1  4 O 1.86
2 W 0.5000 0.5000 0.5000 x1  4 N 2.63, 8 O 2.84
3 N 0.0000 0.0000 0.5000 x1  2 Ti 2.14
4 O 0.0000 0.5000 0.0000 x2  2 Ti 1.86

M_tot = 3.0 μB/cell
VASP energy = -7.672 eV/atom
Crystal system = tetragonal